A plane-wave DFT calculation with GGA-PBE was carried out for an optimized crystal structure of Mg2HRh.

CIF file:
```
data_Mg2HRh
_cell_length_a 5.248
_cell_length_b 5.248
_cell_length_c 5.248
_cell_angle_alpha 103.66
_cell_angle_beta 103.66
_cell_angle_gamma 121.85
_space_group_name_H-M_alt 'P 1'
_space_group_IT_number 1
_space_group_name_Hall 'P 1'
loop_
_atom_site_label
_atom_site_type_symbol
_atom_site_fract_x
_atom_site_fract_y
_atom_site_fract_z
Mg1 Mg 0.041 0.125 0.416
Mg2 Mg 0.375 0.959 0.084
Mg3 Mg 0.709 0.625 0.584
Mg4 Mg 0.875 0.291 0.916
H1 H 0.000 0.000 0.000
H2 H 0.750 0.250 0.500
Rh1 Rh 0.250 0.750 0.500
Rh2 Rh 0.500 0.500 0.000
```

Computed properties:
E above lowest polymorph, meV/atom: 298
Symmetry: I-42d (122)


A plane-wave DFT calculation with GGA-PBE was carried out for an optimized crystal structure of MgH4Rh.

CIF file:
```
data_MgH4Rh
_cell_length_a 4.296
_cell_length_b 4.780
_cell_length_c 5.528
_cell_angle_alpha 81.01
_cell_angle_beta 89.97
_cell_angle_gamma 63.36
_space_group_name_H-M_alt 'P 1'
_space_group_IT_number 1
_space_group_name_Hall 'P 1'
loop_
_atom_site_label
_atom_site_type_symbol
_atom_site_fract_x
_atom_site_fract_y
_atom_site_fract_z
Mg1 Mg 0.245 0.498 0.251
Mg2 Mg 0.755 0.502 0.749
H1 H 0.198 0.606 0.579
H2 H 0.249 0.997 0.249
H3 H 0.253 0.999 0.749
H4 H 0.303 0.394 0.921
H5 H 0.697 0.606 0.079
H6 H 0.747 0.001 0.251
H7 H 0.751 0.003 0.751
H8 H 0.802 0.394 0.421
Rh1 Rh 0.000 0.000 0.500
Rh2 Rh 0.500 0.000 0.000
```

Computed properties:
E above lowest polymorph, meV/atom: 0
Symmetry: P-1 (2)


A plane-wave DFT calculation with GGA-PBE was carried out for an optimized crystal structure of MgHRh3.

CIF file:
```
data_MgHRh3
_cell_length_a 5.290
_cell_length_b 5.332
_cell_length_c 5.528
_cell_angle_alpha 104.69
_cell_angle_beta 106.17
_cell_angle_gamma 115.65
_space_group_name_H-M_alt 'P 1'
_space_group_IT_number 1
_space_group_name_Hall 'P 1'
loop_
_atom_site_label
_atom_site_type_symbol
_atom_site_fract_x
_atom_site_fract_y
_atom_site_fract_z
Mg1 Mg 0.236 0.479 0.190
Mg2 Mg 0.764 0.521 0.810
H1 H 0.000 0.000 0.000
H2 H 0.000 0.000 0.500
Rh1 Rh 0.210 0.471 0.679
Rh2 Rh 0.288 0.032 0.321
Rh3 Rh 0.295 0.032 0.830
Rh4 Rh 0.705 0.968 0.170
Rh5 Rh 0.712 0.968 0.679
Rh6 Rh 0.790 0.529 0.321
```

Computed properties:
E above lowest polymorph, meV/atom: 28
Symmetry: P-1 (2)


A plane-wave DFT calculation with GGA-PBE was carried out for an optimized crystal structure of Mg2H3Rh2.

CIF file:
```
data_Mg2H3Rh2
_cell_length_a 5.261
_cell_length_b 5.261
_cell_length_c 4.760
_cell_angle_alpha 104.02
_cell_angle_beta 104.02
_cell_angle_gamma 34.09
_space_group_name_H-M_alt 'P 1'
_space_group_IT_number 1
_space_group_name_Hall 'P 1'
loop_
_atom_site_label
_atom_site_type_symbol
_atom_site_fract_x
_atom_site_fract_y
_atom_site_fract_z
Mg1 Mg 0.109 0.109 0.303
Mg2 Mg 0.891 0.891 0.697
H1 H 0.223 0.223 0.805
H2 H 0.500 0.500 0.500
H3 H 0.777 0.777 0.195
Rh1 Rh 0.371 0.371 0.175
Rh2 Rh 0.629 0.629 0.825
```

Computed properties:
Raw total energy, eV/atom: -4.370
Symmetry: C2/m (12)


Please write out number 1 again, unchanged.
A plane-wave DFT calculation with GGA-PBE was carried out for an optimized crystal structure of Mg2HRh.

CIF file:
```
data_Mg2HRh
_cell_length_a 5.248
_cell_length_b 5.248
_cell_length_c 5.248
_cell_angle_alpha 103.66
_cell_angle_beta 103.66
_cell_angle_gamma 121.85
_space_group_name_H-M_alt 'P 1'
_space_group_IT_number 1
_space_group_name_Hall 'P 1'
loop_
_atom_site_label
_atom_site_type_symbol
_atom_site_fract_x
_atom_site_fract_y
_atom_site_fract_z
Mg1 Mg 0.041 0.125 0.416
Mg2 Mg 0.375 0.959 0.084
Mg3 Mg 0.709 0.625 0.584
Mg4 Mg 0.875 0.291 0.916
H1 H 0.000 0.000 0.000
H2 H 0.750 0.250 0.500
Rh1 Rh 0.250 0.750 0.500
Rh2 Rh 0.500 0.500 0.000
```

Computed properties:
E above lowest polymorph, meV/atom: 298
Symmetry: I-42d (122)